# LiTbNO

A relaxed LiTbNO crystal (GGA-PBE, OQMD via LeMat-Bulk). Values from VASP.

The structure in Quantum ESPRESSO input format:
```
&SYSTEM
  ibrav = 0, nat = 8, ntyp = 4
/
ATOMIC_SPECIES
N 14.01 N.upf
O 16.00 O.upf
Li 6.94 Li.upf
Tb 158.93 Tb.upf
ATOMIC_POSITIONS crystal
N 0.000 0.934 0.363
O 0.500 0.439 0.157
Li 0.000 0.441 0.313
O 0.500 0.939 0.843
Tb 0.500 0.439 0.790
Li 0.000 0.941 0.687
Tb 0.500 0.939 0.210
N 0.000 0.434 0.637
CELL_PARAMETERS angstrom
-3.781 -1.179 -0.905
0.592 -3.748 2.407
-2.105 2.893 5.022
```

## Properties
As for the space group: Pmc2_1. As for the energy relative to the lowest polymorph listed for this composition: 84 meV/atom.

# Sm3BiN2

A relaxed Sm3BiN2 crystal (GGA-PBE, OQMD via LeMat-Bulk). Values from VASP.

The structure in Quantum ESPRESSO input format:
```
&SYSTEM
  ibrav = 0, nat = 6, ntyp = 3
/
ATOMIC_SPECIES
Sm 150.36 Sm.upf
N 14.01 N.upf
Bi 208.98 Bi.upf
ATOMIC_POSITIONS crystal
Sm 0.667 0.333 0.755
N 0.667 0.333 0.359
Bi 0.000 0.000 0.000
Sm 0.333 0.667 0.245
Sm 0.000 0.000 0.500
N 0.333 0.667 0.641
CELL_PARAMETERS angstrom
3.638 0.000 0.000
-1.819 3.151 0.000
0.000 0.000 10.798
```

## Properties
As for the space group: P-3m1. The value obtained for the total DFT energy (no corrections) is -7.035 eV per atom.